1.
## Ho2TmTh4 (PBE-GGA)

Data for an optimized crystal structure of Ho2TmTh4.

## Properties
M_tot: 0.14 μB/f.u.
ΔE to the lowest computed polymorph: 5.17 eV/f.u.
Space-group type: I4/mmm
Final energy: -36.446 eV per cell
DFT formation energy: 0.980 eV/atom

abc: 9.121 9.121 9.121
angles: 143.90 143.90 51.98
Element x y z (fractional)
Ho 0.115 0.115 0.000
Ho 0.885 0.885 0.000
Tm 0.500 0.500 0.000
Th 0.000 0.500 0.500
Th 0.314 0.314 0.000
Th 0.500 0.000 0.500
Th 0.686 0.686 0.000

---

2.
## CaMgFe2 (PBE-GGA)

Data for an optimized crystal structure of CaMgFe2.

## Properties
M_tot: 5.05 μB/f.u.
Space-group type: R3m
Final energy: -18.528 eV per cell
DFT formation energy: 0.498 eV/atom

abc: 9.219 9.219 9.219
angles: 19.73 19.73 19.73
Element x y z (fractional)
Ca 0.000 0.000 0.000
Mg 0.777 0.777 0.777
Fe 0.246 0.246 0.246
Fe 0.522 0.522 0.522

---

3.
## Y2ScBiSe (PBE-GGA)

Data for an optimized crystal structure of Y2ScBiSe.

## Properties
M_tot: 3.11 μB/f.u.
Space-group type: P4/mmm
Raw formation energy: 0.436 eV/atom
Final energy: -24.445 eV per cell

abc: 5.814 5.814 5.649
angles: 90.00 90.00 90.00
Element x y z (fractional)
Y 0.000 0.500 0.000
Y 0.500 0.000 0.000
Sc 0.000 0.000 0.500
Bi 0.500 0.500 0.000
Se 0.500 0.500 0.500